Record 1
Compound: AlInRu
Source: Alexandria
Functional: GGA-PBE
Structure: relaxed

VASP energy = -15.8 eV for the cell shown
energy of formation = -0.006 eV per atom

a = 3.036 Å, b = 3.036 Å, c = 6.578 Å
α = 90.00°, β = 90.00°, γ = 120.00°
Element x y z (fractional)
Al 0.000 0.000 0.000
In 0.667 0.333 0.388
Ru 0.333 0.667 0.725

---

Record 2
Compound: AlInRu
Source: Alexandria
Functional: GGA-PBE
Structure: relaxed

VASP energy = -33.1 eV for the cell shown
energy of formation = -0.260 eV per atom

a = 3.254 Å, b = 3.254 Å, c = 9.362 Å
α = 90.00°, β = 90.00°, γ = 90.00°
Element x y z (fractional)
Al 0.000 0.000 0.000
Al 0.500 0.500 0.500
In 0.000 0.000 0.305
In 0.500 0.500 0.805
Ru 0.000 0.000 0.621
Ru 0.500 0.500 0.121